Below is a geometry-optimized SrYW2O8 structure, with properties calculated at the PBE with a Hubbard U level.

Cell: 5.3454 5.3454 23.1480 Å, 90.00 90.00 120.00°
Space group R32 (No. 155, hexagonal axes)
Inequivalent atoms, fractional coordinates:
Sr 0.0000 0.0000 0.0000
Y 0.0000 0.0000 0.5000
W 0.0000 0.0000 0.2497
O 0.0000 0.0000 0.3282
O 0.0006 0.3300 0.8955

Summary:
VASP energy in eV per cell: -267.35
Magnetic moment in μB/f.u.: 1.001